[1]
# NaFeSn2

A relaxed NaFeSn2 crystal (GGA-PBE, the Alexandria database).

a = 6.445 Å, b = 6.445 Å, c = 6.445 Å
α = 38.76°, β = 38.76°, γ = 38.76°
Fractional coordinates of all 4 atoms:
Na  0.000  0.000  0.000
Fe  0.500  0.500  0.500
Sn  0.217  0.217  0.217
Sn  0.783  0.783  0.783

Summary:
Space-group type: R-3m
ΔE_f (meV per atom): 181

---

[2]
# Ho4ErIr2

A relaxed Ho4ErIr2 crystal (GGA-PBE, the Alexandria database).

a = 7.823 Å, b = 6.283 Å, c = 7.843 Å
α = 90.00°, β = 112.56°, γ = 90.00°
Fractional coordinates of all 14 atoms:
Ho  0.016  0.250  0.380
Ho  0.247  0.750  0.334
Ho  0.416  0.003  0.764
Ho  0.416  0.497  0.764
Ho  0.584  0.503  0.236
Ho  0.584  0.997  0.236
Ho  0.753  0.250  0.666
Ho  0.984  0.750  0.620
Er  0.158  0.250  0.029
Er  0.842  0.750  0.971
Ir  0.256  0.750  0.985
Ir  0.374  0.250  0.411
Ir  0.626  0.750  0.589
Ir  0.744  0.250  0.015

Summary:
Space-group type: P2_1/m
ΔE_f (meV per atom): -556

---

[3]
# Na12S5Br3

A relaxed Na12S5Br3 crystal (GGA-PBE, the Alexandria database).

a = 14.661 Å, b = 14.661 Å, c = 14.661 Å
α = 109.47°, β = 109.47°, γ = 109.47°
Fractional coordinates of all 80 atoms:
Na  0.029  0.204  0.114
Na  0.029  0.325  0.915
Na  0.085  0.614  0.410
Na  0.085  0.971  0.675
Na  0.090  0.704  0.675
Na  0.090  0.886  0.415
Na  0.114  0.029  0.204
Na  0.114  0.585  0.910
Na  0.175  0.204  0.590
Na  0.175  0.471  0.585
Na  0.204  0.114  0.029
Na  0.204  0.590  0.175
Na  0.296  0.325  0.910
Na  0.296  0.471  0.386
Na  0.325  0.910  0.296
Na  0.325  0.915  0.029
Na  0.386  0.296  0.471
Na  0.386  0.590  0.915
Na  0.410  0.085  0.614
Na  0.410  0.825  0.796
Na  0.415  0.090  0.886
Na  0.415  0.825  0.529
Na  0.471  0.386  0.296
Na  0.471  0.585  0.175
Na  0.529  0.415  0.825
Na  0.529  0.614  0.704
Na  0.585  0.175  0.471
Na  0.585  0.910  0.114
Na  0.590  0.175  0.204
Na  0.590  0.915  0.386
Na  0.614  0.410  0.085
Na  0.614  0.704  0.529
Na  0.675  0.085  0.971
Na  0.675  0.090  0.704
Na  0.704  0.529  0.614
Na  0.704  0.675  0.090
Na  0.796  0.410  0.825
Na  0.796  0.886  0.971
Na  0.825  0.529  0.415
Na  0.825  0.796  0.410
Na  0.886  0.415  0.090
Na  0.886  0.971  0.796
Na  0.910  0.114  0.585
Na  0.910  0.296  0.325
Na  0.915  0.029  0.325
Na  0.915  0.386  0.590
Na  0.971  0.675  0.085
Na  0.971  0.796  0.886
S  0.000  0.000  0.000
S  0.000  0.000  0.500
S  0.000  0.500  0.000
S  0.000  0.500  0.500
S  0.125  0.750  0.875
S  0.125  0.875  0.250
S  0.250  0.125  0.875
S  0.250  0.625  0.375
S  0.375  0.250  0.625
S  0.375  0.625  0.750
S  0.500  0.000  0.000
S  0.500  0.000  0.500
S  0.500  0.500  0.000
S  0.500  0.500  0.500
S  0.625  0.375  0.250
S  0.625  0.750  0.375
S  0.750  0.375  0.625
S  0.750  0.875  0.125
S  0.875  0.125  0.750
S  0.875  0.250  0.125
Br  0.125  0.250  0.375
Br  0.125  0.375  0.750
Br  0.250  0.375  0.125
Br  0.250  0.875  0.625
Br  0.375  0.125  0.250
Br  0.375  0.750  0.125
Br  0.625  0.250  0.875
Br  0.625  0.875  0.750
Br  0.750  0.125  0.375
Br  0.750  0.625  0.875
Br  0.875  0.625  0.250
Br  0.875  0.750  0.625

Summary:
Energy relative to the elements, uncorrected (meV per atom): -998
Space-group type: Ia-3d

---

[4]
# CoWCl

A relaxed CoWCl crystal (GGA-PBE, the Alexandria database).

a = 4.167 Å, b = 4.167 Å, c = 2.816 Å
α = 90.00°, β = 90.00°, γ = 120.00°
Fractional coordinates of all 3 atoms:
Co  0.000  0.000  0.000
W  0.667  0.333  0.500
Cl  0.333  0.667  0.500

Summary:
Energy relative to the elements, uncorrected (meV per atom): 763
Space-group type: P-6m2

---

[5]
# YCS3

A relaxed YCS3 crystal (GGA-PBE, the Alexandria database).

a = 4.277 Å, b = 4.277 Å, c = 4.277 Å
α = 90.00°, β = 90.00°, γ = 90.00°
Fractional coordinates of all 5 atoms:
Y  0.000  0.000  0.000
C  0.500  0.500  0.500
S  0.000  0.500  0.500
S  0.500  0.000  0.500
S  0.500  0.500  0.000

Summary:
Energy relative to the elements, uncorrected (meV per atom): 32
Space-group type: Pm-3m

---

[6]
# CuMo2Rh9

A relaxed CuMo2Rh9 crystal (GGA-PBE, the Alexandria database).

a = 3.851 Å, b = 3.851 Å, c = 11.567 Å
α = 90.00°, β = 90.00°, γ = 90.00°
Fractional coordinates of all 12 atoms:
Cu  0.000  0.000  0.000
Mo  0.000  0.000  0.326
Mo  0.000  0.000  0.674
Rh  0.000  0.500  0.169
Rh  0.000  0.500  0.500
Rh  0.000  0.500  0.831
Rh  0.500  0.000  0.169
Rh  0.500  0.000  0.500
Rh  0.500  0.000  0.831
Rh  0.500  0.500  0.000
Rh  0.500  0.500  0.335
Rh  0.500  0.500  0.665

Summary:
Space-group type: P4/mmm
ΔE_f (meV per atom): -156

---

no.,M_tot (μB per atom),calculated volume (Å³/cell)
1,0.0003,94.3
2,0.0000,356.0
3,0.0631,2425.9
4,0.3066,42.3
5,0.0000,78.3
6,0.0000,171.5